Material: SrDyGaAu
Method: DFT, PBE
State: relaxed

Cell lengths 5.259, 5.259, 5.259 Å; angles 60.00, 60.00, 60.00 degrees
Atoms (fractional coordinates):
Sr  0.000  0.000  0.000
Dy  0.500  0.500  0.500
Ga  0.250  0.250  0.250
Au  0.750  0.750  0.750

The total energy is -14.77 eV/cell. The mass density comes out at 8.3 g/cm3. As for the spin magnetization: 0.00 μB per cell. The formation energy is -546 meV per atom.